Record 1
Computed, not measured: a geometry-optimized Sc2GaHPd structure at the PBE level of DFT.

Summary:
uncorrected energy	-27.47	eV for the cell shown
space group	No. 123
density of states at the Fermi level	3.1	states/eV/f.u.

Lattice parameters (Å, degrees): 4.572 4.572 3.676 90.00 90.00 90.00
Sites, in units of the cell vectors:
Pd (0.000, 0.000, 0.500)
Sc (0.000, 0.500, 0.000)
Sc (0.500, 0.000, 0.000)
Ga (0.500, 0.500, 0.500)
H (0.000, 0.000, 0.000)

---

Record 2
Computed, not measured: a geometry-optimized MgSb2Rh structure at the PBE level of DFT.

Summary:
uncorrected energy	-17.63	eV for the cell shown
space group	No. 123
formation energy without anion corrections	-0.11	eV per atom
density of states at the Fermi level	1.6	states/eV/f.u.

Lattice parameters (Å, degrees): 4.557 4.560 3.963 90.00 90.00 90.00
Sites, in units of the cell vectors:
Sb (0.500, 0.500, 0.000)
Mg (0.500, 0.000, 0.500)
Rh (0.000, 0.500, 0.500)
Sb (0.000, 0.000, 0.000)

---

Record 3
Computed, not measured: a geometry-optimized BeH5Pd4 structure at the PBE level of DFT.

Summary:
uncorrected energy	-83.48	eV for the cell shown
space group	No. 59
density of states at the Fermi level	1.1	states/eV/f.u.

Lattice parameters (Å, degrees): 3.980 5.825 7.701 90.00 90.00 90.00
Sites, in units of the cell vectors:
H (0.235, 0.789, 0.169)
Pd (0.049, 0.500, 0.212)
H (0.235, 0.211, 0.169)
Be (0.940, 0.500, 0.500)
Pd (0.951, 0.000, 0.712)
Pd (0.545, 0.766, 0.000)
H (0.765, 0.289, 0.669)
H (0.765, 0.711, 0.669)
H (0.214, 0.000, 0.500)
Pd (0.455, 0.266, 0.500)
Be (0.060, 0.000, 0.000)
Pd (0.951, 0.000, 0.288)
H (0.765, 0.711, 0.331)
Pd (0.545, 0.234, 0.000)
Pd (0.049, 0.500, 0.788)
H (0.765, 0.289, 0.331)
H (0.786, 0.500, 0.000)
Pd (0.455, 0.734, 0.500)
H (0.235, 0.789, 0.831)
H (0.235, 0.211, 0.831)

---

Repeat the first record exactly.
Computed, not measured: a geometry-optimized Sc2GaHPd structure at the PBE level of DFT.

Summary:
uncorrected energy	-27.47	eV for the cell shown
space group	No. 123
density of states at the Fermi level	3.1	states/eV/f.u.

Lattice parameters (Å, degrees): 4.572 4.572 3.676 90.00 90.00 90.00
Sites, in units of the cell vectors:
Pd (0.000, 0.000, 0.500)
Sc (0.000, 0.500, 0.000)
Sc (0.500, 0.000, 0.000)
Ga (0.500, 0.500, 0.500)
H (0.000, 0.000, 0.000)